The following is a PBE calculation of a geometry-optimized Nd2HoAu2 structure, from Alexandria via LeMat-Bulk.

The crystal system is tetragonal. The value obtained for the distance to the lowest polymorph of the same formula is 0.0 kJ per mole of atoms.

The space group is P4/mbm (No. 127) and the conventional cell measures 8.317, 8.317 and 3.923 Å, with angles of 90.00, 90.00 and 90.00 degrees. The asymmetric unit holds Nd at (0.166, 0.334, 0.000), Ho at (0.000, 0.000, 0.500) and Au at (0.131, 0.631, 0.500).



The following is a PBE calculation of a geometry-optimized Sr4ZnRh structure, from Alexandria via LeMat-Bulk.

The crystal system is cubic.

The space group is F-43m (No. 216) and the conventional cell measures 9.501, 9.501 and 9.501 Å, with angles of 90.00, 90.00 and 90.00 degrees. The asymmetric unit holds Sr at (0.124, 0.124, 0.376), Zn at (0.000, 0.000, 0.000) and Rh at (0.250, 0.250, 0.750).



Calculated ΔH_f (0 K) (kJ/mol of formula units), listed in the same order as above: -313, 476
Calculated total magnetization (μB/cell), listed in the same order as above: 0.00, 0.00
Calculated calculated total energy (eV per cell), listed in the same order as above: -47.8, -41.7